1.
Co2W | GGA-PBE | optimized geometry

Values from the calculation:
The value obtained for the formation energy is 0.25 eV per atom. Its symmetry is P4_2/mnm (136). The final energy comes out at -264.21 eV for the cell shown. As for the volume: 382.36 Å³ per cell.

a b c (Å): 9.123 9.123 4.594
angles (deg): 90.00 90.00 90.00
Fractional coordinates of all 30 atoms:
Co1 0.040 0.370 0.000
Co2 0.101 0.101 0.000
Co3 0.130 0.540 0.500
Co4 0.184 0.816 0.249
Co5 0.184 0.816 0.751
Co6 0.316 0.316 0.251
Co7 0.316 0.316 0.749
Co8 0.370 0.040 0.000
Co9 0.399 0.601 0.500
Co10 0.460 0.870 0.500
Co11 0.540 0.130 0.500
Co12 0.601 0.399 0.500
Co13 0.630 0.960 0.000
Co14 0.684 0.684 0.251
Co15 0.684 0.684 0.749
Co16 0.816 0.184 0.249
Co17 0.816 0.184 0.751
Co18 0.870 0.460 0.500
Co19 0.899 0.899 0.000
Co20 0.960 0.630 0.000
W1 0.000 0.000 0.500
W2 0.062 0.276 0.500
W3 0.224 0.562 0.000
W4 0.276 0.062 0.500
W5 0.438 0.776 0.000
W6 0.500 0.500 0.000
W7 0.562 0.224 0.000
W8 0.724 0.938 0.500
W9 0.776 0.438 0.000
W10 0.938 0.724 0.500

2.
GdP | GGA-PBE | optimized geometry

Values from the calculation:
Its symmetry is Pmma (51). The final energy comes out at -47.32 eV for the cell shown. As for the volume: 183.42 Å³ per cell.

a b c (Å): 6.220 5.463 5.397
angles (deg): 90.00 90.00 90.00
Fractional coordinates of all 8 atoms:
Gd1 0.000 0.000 0.000
Gd2 0.250 0.500 0.354
Gd3 0.500 0.000 0.000
Gd4 0.750 0.500 0.646
P1 0.250 0.000 0.476
P2 0.250 0.500 0.858
P3 0.750 0.000 0.524
P4 0.750 0.500 0.142

3.
Ni3Bi4 | GGA-PBE | optimized geometry

Values from the calculation:
Its symmetry is C2/m (12). The final energy comes out at -33.12 eV for the cell shown. As for the volume: 154.56 Å³ per cell.

a b c (Å): 6.756 6.756 6.964
angles (deg): 120.34 120.34 34.98
Fractional coordinates of all 7 atoms:
Ni1 0.000 0.000 0.000
Ni2 0.246 0.246 0.254
Ni3 0.754 0.754 0.746
Bi1 0.125 0.125 0.469
Bi2 0.374 0.374 0.045
Bi3 0.626 0.626 0.955
Bi4 0.875 0.875 0.531

4.
TmOs2O6 | GGA-PBE | optimized geometry

Values from the calculation:
Its symmetry is P-31m (162). The final energy comes out at -71.24 eV for the cell shown. As for the volume: 107.44 Å³ per cell.

a b c (Å): 4.879 4.879 5.211
angles (deg): 90.00 90.00 120.00
Fractional coordinates of all 9 atoms:
Tm1 0.000 0.000 0.000
Os1 0.333 0.667 0.500
Os2 0.667 0.333 0.500
O1 0.000 0.339 0.273
O2 0.000 0.661 0.727
O3 0.339 0.000 0.273
O4 0.339 0.339 0.727
O5 0.661 0.000 0.727
O6 0.661 0.661 0.273

5.
Ga4Fe3 | GGA-PBE | optimized geometry

Values from the calculation:
Its symmetry is C2/m (12). The final energy comes out at -114.94 eV for the cell shown. As for the volume: 288.22 Å³ per cell.

a b c (Å): 6.304 6.304 7.831
angles (deg): 102.74 102.74 74.58
Fractional coordinates of all 21 atoms:
Ga1 0.041 0.041 0.347
Ga2 0.167 0.538 0.450
Ga3 0.189 0.594 0.849
Ga4 0.269 0.269 0.084
Ga5 0.406 0.811 0.151
Ga6 0.462 0.833 0.550
Ga7 0.538 0.167 0.450
Ga8 0.594 0.189 0.849
Ga9 0.731 0.731 0.916
Ga10 0.811 0.406 0.151
Ga11 0.833 0.462 0.550
Ga12 0.959 0.959 0.653
Fe1 0.000 0.000 0.000
Fe2 0.066 0.663 0.152
Fe3 0.224 0.224 0.639
Fe4 0.337 0.934 0.848
Fe5 0.494 0.494 0.310
Fe6 0.506 0.506 0.690
Fe7 0.663 0.066 0.152
Fe8 0.776 0.776 0.361
Fe9 0.934 0.337 0.848

6.
Ta7W5 | GGA-PBE | optimized geometry

Values from the calculation:
The value obtained for the formation energy is 0.05 eV per atom. The calculation puts the distance to the lowest polymorph of the same formula at 0.000 eV/atom. Its symmetry is P6_3/mmc (194). The final energy comes out at -294.28 eV for the cell shown. As for the volume: 431.35 Å³ per cell.

a b c (Å): 5.368 5.368 17.288
angles (deg): 90.00 90.00 120.00
Fractional coordinates of all 24 atoms:
Ta1 0.000 0.000 0.098
Ta2 0.000 0.000 0.402
Ta3 0.000 0.000 0.598
Ta4 0.000 0.000 0.902
Ta5 0.000 0.500 0.000
Ta6 0.000 0.500 0.500
Ta7 0.333 0.667 0.157
Ta8 0.333 0.667 0.343
Ta9 0.500 0.000 0.000
Ta10 0.500 0.000 0.500
Ta11 0.500 0.500 0.000
Ta12 0.500 0.500 0.500
Ta13 0.667 0.333 0.657
Ta14 0.667 0.333 0.843
W1 0.163 0.326 0.750
W2 0.163 0.837 0.750
W3 0.326 0.163 0.250
W4 0.333 0.667 0.626
W5 0.333 0.667 0.874
W6 0.667 0.333 0.126
W7 0.667 0.333 0.374
W8 0.674 0.837 0.750
W9 0.837 0.163 0.250
W10 0.837 0.674 0.250

7.
Tb2GdCd3InGa2 | GGA-PBE | optimized geometry

Values from the calculation:
Its symmetry is Amm2 (38). The final energy comes out at -29.89 eV for the cell shown. As for the volume: 211.79 Å³ per cell.

a b c (Å): 4.535 7.346 7.346
angles (deg): 120.07 90.00 90.00
Fractional coordinates of all 9 atoms:
Tb1 0.000 0.219 0.781
Tb2 0.000 0.781 0.219
Gd1 0.000 0.655 0.655
Cd1 0.500 0.218 0.473
Cd2 0.500 0.473 0.218
Cd3 0.500 0.963 0.963
In1 0.000 0.218 0.218
Ga1 0.500 0.551 0.885
Ga2 0.500 0.885 0.551

8.
TmSbPd2O6 | GGA-PBE | optimized geometry

Values from the calculation:
The calculation puts the distance to the lowest polymorph of the same formula at 0.051 eV/atom. Its symmetry is P-1 (2). The final energy comes out at -62.00 eV for the cell shown. As for the volume: 131.77 Å³ per cell.

a b c (Å): 4.773 5.436 5.771
angles (deg): 97.39 114.12 99.12
Fractional coordinates of all 10 atoms:
Tm1 0.000 0.000 0.000
Sb1 0.500 0.500 0.000
Pd1 0.276 0.675 0.513
Pd2 0.724 0.325 0.487
O1 0.113 0.230 0.739
O2 0.289 0.778 0.882
O3 0.321 0.415 0.246
O4 0.679 0.585 0.754
O5 0.711 0.222 0.118
O6 0.887 0.770 0.261

9.
HfPdAu | GGA-PBE | optimized geometry

Values from the calculation:
The value obtained for the formation energy is -0.77 eV per atom. The calculation puts the distance to the lowest polymorph of the same formula at 0.017 eV/atom. Its symmetry is P4/nmm (129). The final energy comes out at -41.40 eV for the cell shown. As for the volume: 107.56 Å³ per cell.

a b c (Å): 3.515 3.515 8.705
angles (deg): 90.00 90.00 90.00
Fractional coordinates of all 6 atoms:
Hf1 0.250 0.250 0.238
Hf2 0.750 0.750 0.762
Pd1 0.250 0.250 0.913
Pd2 0.750 0.750 0.087
Au1 0.250 0.250 0.588
Au2 0.750 0.750 0.412

10.
ErOs2 | GGA-PBE | optimized geometry

Values from the calculation:
The value obtained for the formation energy is -0.35 eV per atom. Its symmetry is P6_3/mmc (194). The final energy comes out at -112.32 eV for the cell shown. As for the volume: 213.35 Å³ per cell.

a b c (Å): 5.311 5.311 8.735
angles (deg): 90.00 90.00 120.00
Fractional coordinates of all 12 atoms:
Er1 0.333 0.667 0.066
Er2 0.333 0.667 0.434
Er3 0.667 0.333 0.566
Er4 0.667 0.333 0.934
Os1 0.000 0.000 0.000
Os2 0.000 0.000 0.500
Os3 0.172 0.345 0.750
Os4 0.172 0.828 0.750
Os5 0.345 0.172 0.250
Os6 0.655 0.828 0.750
Os7 0.828 0.172 0.250
Os8 0.828 0.655 0.250

11.
HgOsSeO | GGA-PBE | optimized geometry

Values from the calculation:
The calculation puts the distance to the lowest polymorph of the same formula at 0.000 eV/atom. Its symmetry is Pmc2_1 (26). The final energy comes out at -42.06 eV for the cell shown. As for the volume: 170.89 Å³ per cell.

a b c (Å): 3.485 6.627 7.398
angles (deg): 90.00 90.00 90.00
Fractional coordinates of all 8 atoms:
Hg1 0.000 0.191 0.000
Hg2 0.000 0.809 0.500
Os1 0.500 0.472 0.455
Os2 0.500 0.528 0.955
Se1 0.000 0.222 0.415
Se2 0.000 0.778 0.915
O1 0.500 0.475 0.706
O2 0.500 0.525 0.206

12.
NaSr3Ir | GGA-PBE | optimized geometry

Values from the calculation:
Its symmetry is Pm-3m (221). The final energy comes out at -15.83 eV for the cell shown. As for the volume: 205.94 Å³ per cell.

a b c (Å): 5.905 5.905 5.905
angles (deg): 90.00 90.00 90.00
Fractional coordinates of all 5 atoms:
Na1 0.000 0.000 0.000
Sr1 0.000 0.500 0.500
Sr2 0.500 0.000 0.500
Sr3 0.500 0.500 0.000
Ir1 0.500 0.500 0.500

13.
Bi2Ir7 | GGA-PBE | optimized geometry

Values from the calculation:
Its symmetry is P-3m1 (164). The final energy comes out at -65.57 eV for the cell shown. As for the volume: 234.68 Å³ per cell.

a b c (Å): 2.907 2.907 32.059
angles (deg): 90.00 90.00 120.00
Fractional coordinates of all 9 atoms:
Bi1 0.333 0.667 0.222
Bi2 0.667 0.333 0.778
Ir1 0.000 0.000 0.298
Ir2 0.000 0.000 0.500
Ir3 0.000 0.000 0.702
Ir4 0.333 0.667 0.432
Ir5 0.333 0.667 0.635
Ir6 0.667 0.333 0.365
Ir7 0.667 0.333 0.568

14.
Be2CoB | GGA-PBE | optimized geometry

Values from the calculation:
Its symmetry is F-43m (216). The final energy comes out at -21.60 eV for the cell shown. As for the volume: 30.48 Å³ per cell.

a b c (Å): 3.506 3.506 3.506
angles (deg): 60.00 60.00 60.00
Fractional coordinates of all 4 atoms:
Be1 0.000 0.000 0.000
Be2 0.250 0.250 0.250
Co1 0.500 0.500 0.500
B1 0.750 0.750 0.750

15.
TbHo2Ag4Sn4 | GGA-PBE | optimized geometry

Values from the calculation:
Its symmetry is Immm (71). The final energy comes out at -46.39 eV for the cell shown. As for the volume: 255.07 Å³ per cell.

a b c (Å): 8.765 8.765 8.765
angles (deg): 149.91 130.40 59.11
Fractional coordinates of all 11 atoms:
Tb1 0.000 0.000 0.000
Ho1 0.373 0.873 0.500
Ho2 0.627 0.127 0.500
Ag1 0.027 0.329 0.699
Ag2 0.370 0.671 0.699
Ag3 0.630 0.329 0.301
Ag4 0.973 0.671 0.301
Sn1 0.215 0.215 0.000
Sn2 0.304 0.500 0.804
Sn3 0.696 0.500 0.196
Sn4 0.785 0.785 0.000

16.
Hf3Zr3CoAs2 | GGA-PBE | optimized geometry

Values from the calculation:
The calculation puts the distance to the lowest polymorph of the same formula at 0.000 eV/atom. Its symmetry is P-62m (189). The final energy comes out at -78.63 eV for the cell shown. As for the volume: 172.36 Å³ per cell.

a b c (Å): 7.500 7.500 3.538
angles (deg): 90.00 90.00 120.00
Fractional coordinates of all 9 atoms:
Hf1 0.000 0.755 0.000
Hf2 0.245 0.245 0.000
Hf3 0.755 0.000 0.000
Zr1 0.000 0.412 0.500
Zr2 0.412 0.000 0.500
Zr3 0.588 0.588 0.500
Co1 0.000 0.000 0.500
As1 0.333 0.667 0.000
As2 0.667 0.333 0.000

17.
LiCdGaHg | GGA-PBE | optimized geometry

Values from the calculation:
The calculation puts the distance to the lowest polymorph of the same formula at 0.000 eV/atom. Its symmetry is F-43m (216). The final energy comes out at -6.75 eV for the cell shown. As for the volume: 79.10 Å³ per cell.

a b c (Å): 4.818 4.818 4.818
angles (deg): 60.00 60.00 60.00
Fractional coordinates of all 4 atoms:
Li1 0.000 0.000 0.000
Cd1 0.250 0.250 0.250
Ga1 0.500 0.500 0.500
Hg1 0.750 0.750 0.750

18.
SmGdInNi2 | GGA-PBE | optimized geometry

Values from the calculation:
Its symmetry is Amm2 (38). The final energy comes out at -25.76 eV for the cell shown. As for the volume: 105.96 Å³ per cell.

a b c (Å): 3.761 7.440 7.440
angles (deg): 30.59 90.00 90.00
Fractional coordinates of all 5 atoms:
Sm1 0.000 0.000 0.000
Gd1 0.000 0.274 0.274
In1 0.500 0.638 0.638
Ni1 0.500 0.436 0.436
Ni2 0.500 0.835 0.835

19.
Tb2TmCo2B2As3 | GGA-PBE | optimized geometry

Values from the calculation:
Its symmetry is I4/mmm (139). The final energy comes out at -62.91 eV for the cell shown. As for the volume: 173.03 Å³ per cell.

a b c (Å): 11.619 11.619 11.619
angles (deg): 160.60 160.60 27.57
Fractional coordinates of all 10 atoms:
Tb1 0.144 0.144 0.000
Tb2 0.856 0.856 0.000
Tm1 0.500 0.500 0.000
Co1 0.250 0.750 0.500
Co2 0.750 0.250 0.500
B1 0.282 0.282 0.000
B2 0.718 0.718 0.000
As1 0.000 0.000 0.000
As2 0.376 0.376 0.000
As3 0.624 0.624 0.000

20.
NaGdGaTe3 | GGA-PBE | optimized geometry

Values from the calculation:
Its symmetry is Cmcm (63). The final energy comes out at -46.95 eV for the cell shown. As for the volume: 392.51 Å³ per cell.

a b c (Å): 7.609 7.609 11.671
angles (deg): 90.00 90.00 144.49
Fractional coordinates of all 12 atoms:
Na1 0.236 0.764 0.750
Na2 0.764 0.236 0.250
Gd1 0.000 0.000 0.000
Gd2 0.000 0.000 0.500
Ga1 0.480 0.520 0.250
Ga2 0.520 0.480 0.750
Te1 0.085 0.915 0.250
Te2 0.362 0.638 0.064
Te3 0.362 0.638 0.436
Te4 0.638 0.362 0.564
Te5 0.638 0.362 0.936
Te6 0.915 0.085 0.750